Record 1
The following is a PBE calculation of a geometry-optimized CaPaPd2 structure, from Alexandria.

As for the energy above the most stable polymorph in this dataset: 6.5 kJ per mole of atoms.

```
data_CaPaPd2
_space_group_name_H-M_alt 'R -3 m'
_space_group_IT_number 166
_space_group_name_Hall '-R 3 2"'
_cell_length_a 4.0029
_cell_length_b 4.0029
_cell_length_c 21.4389
_cell_angle_alpha 90.00
_cell_angle_beta 90.00
_cell_angle_gamma 120.00
loop_
_atom_site_label
_atom_site_fract_x
_atom_site_fract_y
_atom_site_fract_z
Ca1 0.0000 0.0000 0.0000
Pa1 0.0000 0.0000 0.5000
Pd1 0.0000 0.0000 0.2412
```

---

Record 2
The following is a PBE calculation of a geometry-optimized CaPaPd3 structure, from Alexandria.

```
data_CaPaPd3
_space_group_name_H-M_alt 'P m m n'
_space_group_IT_number 59
_cell_length_a 4.678
_cell_length_b 5.700
_cell_length_c 8.242
_cell_angle_alpha 90.00
_cell_angle_beta 90.00
_cell_angle_gamma 90.00
loop_
_space_group_symop_operation_xyz
'x,y,z'
'-x,-y,-z'
'-x+1/2,-y+1/2,z'
'x+1/2,y+1/2,-z'
'x+1/2,-y,-z'
'-x+1/2,y,z'
'-x,y+1/2,-z'
'x,-y+1/2,z'
loop_
_atom_site_label
_atom_site_fract_x
_atom_site_fract_y
_atom_site_fract_z
Ca1 0.250 0.250 0.048
Pa1 0.250 0.750 0.392
Pd1 0.250 0.250 0.403
Pd2 0.250 0.505 0.727
```

---

The following DOS(E_F) values (in states/eV/atom) correspond, in order, to the records above: 0.734 0.922.
The following energy relative to the elements values (in eV per atom) correspond, in order, to the records above: -0.472 -0.660.